Computed, not measured: a relaxed structure of MnGe3N at the PBE level of DFT.

a b c (Å): 4.1967 4.1967 4.1967
angles (deg): 90.00 90.00 90.00
Closest atoms and distances in Å follow each position.
Fractional positions:
Ge 0.0000 0.5000 0.0000  2 N 2.10
Ge 0.0000 0.0000 0.5000  2 N 2.10
Ge 0.5000 0.0000 0.0000  2 N 2.10
Mn 0.5000 0.5000 0.5000  12 Ge 2.97
N 0.0000 0.0000 0.0000  6 Ge 2.10

Summary:
**Density of states at the Fermi level**: 2.75 states/eV/cell
**Energy relative to the elements, uncorrected**: 0.746 eV/atom
**Magnetization**: 3.2 μB per cell
**Space-group type**: Pm-3m
**E**: -27.6 eV/f.u.